Record 1
Entry from Alexandria: crystalline Mg5VCl12 at its relaxed geometry (PBE).

Cell and atoms, written as POSCAR:
```
Mg5VCl12
1.0
-5.798 1.786 1.841
-1.417 0.287 6.174
3.976 12.616 0.333
Cl Mg V
12 5 1
direct
0.330 0.670 0.897
0.000 0.670 0.103
0.500 0.333 0.604
0.670 0.000 0.897
0.167 0.000 0.604
0.330 0.000 0.103
0.167 0.333 0.396
0.833 0.000 0.396
0.833 0.667 0.604
0.000 0.330 0.897
0.670 0.330 0.103
0.500 0.667 0.396
0.833 0.333 0.500
0.500 0.000 0.500
0.333 0.333 0.000
0.167 0.667 0.500
0.667 0.667 0.000
0.000 0.000 0.000
```

## Properties
E_form (uncorrected) = -1739.5 meV per atom
Mass density = 2.2 Mg/m³
Magnetization = 0.17 μB per atom
Raw total energy = -3.9202 eV/atom

***

Record 2
Entry from Alexandria: crystalline Hf2ScTlBi at its relaxed geometry (PBE).

Cell and atoms, written as POSCAR:
```
Hf2ScTlBi
1.0
-1.152 -2.410 4.610
5.140 -0.868 0.830
0.379 4.670 2.536
Hf Sc Bi Tl
2 1 1 1
direct
0.000 0.000 0.500
0.500 0.000 0.000
0.000 0.500 0.000
0.500 0.500 0.500
0.000 0.000 0.000
```

## Properties
Energy of formation = 80 kJ/mol of atoms
Mass density = 9.0 Mg/m³
Magnetization = 0.00 μB per atom
Raw total energy = -5.6687 eV/atom

***

Record 3
Entry from Alexandria: crystalline Hf2BrN at its relaxed geometry (PBE).

Cell and atoms, written as POSCAR:
```
Hf2BrN
1.0
0.000 3.125 3.125
3.125 0.000 3.125
3.125 3.125 0.000
Br N Hf
1 1 2
direct
0.500 0.500 0.500
0.000 0.000 0.000
0.250 0.250 0.250
0.750 0.750 0.750
```

## Properties
E_form (uncorrected) = 99.6 meV per atom
Mass density = 12.3 Mg/m³
Magnetization = 0.00 μB per atom
Raw total energy = -7.3767 eV/atom
E above lowest polymorph = 2.687 eV/f.u.

***

Record 4
Entry from Alexandria: crystalline LaLuSn at its relaxed geometry (PBE).

Cell and atoms, written as POSCAR:
```
LaLuSn
1.0
4.246 0.000 0.000
0.000 5.085 0.000
0.000 -2.542 4.403
La Lu Sn
1 1 1
direct
0.335 0.333 0.667
0.838 0.000 0.000
0.828 0.667 0.333
```

## Properties
Energy of formation = -41 kJ/mol of atoms
Mass density = 7.6 Mg/m³
Magnetization = 0.00 μB per atom
Raw total energy = -4.9123 eV/atom
E above lowest polymorph = 0.000 eV/f.u.

***

Record 5
Entry from Alexandria: crystalline RbNbRe3 at its relaxed geometry (PBE).

Cell and atoms, written as POSCAR:
```
RbNbRe3
1.0
4.960 0.000 0.000
0.000 4.960 0.000
0.000 0.000 4.960
Re Nb Rb
3 1 1
direct
0.000 0.000 0.500
0.500 0.000 0.000
0.000 0.500 0.000
0.000 0.000 0.000
0.500 0.500 0.500
```

## Properties
Energy of formation = 229 kJ/mol of atoms
Mass density = 10.0 Mg/m³
Magnetization = 0.85 μB per atom
Raw total energy = -7.3058 eV/atom

***

Record 6
Entry from Alexandria: crystalline SiIrSeBr2 at its relaxed geometry (PBE).

Cell and atoms, written as POSCAR:
```
SiIrSeBr2
1.0
-0.336 2.348 4.301
2.974 -3.329 2.050
3.979 2.803 -1.220
Br Si Se Ir
2 1 1 1
direct
0.500 0.000 0.000
0.000 0.500 0.000
0.000 0.000 0.000
0.000 0.000 0.500
0.500 0.500 0.500
```

## Properties
E_form (uncorrected) = 1076.2 meV per atom
Mass density = 6.3 Mg/m³
Magnetization = 0.50 μB per atom
Raw total energy = -3.1467 eV/atom
E above lowest polymorph = 2.167 eV/f.u.

***

Record 7
Entry from Alexandria: crystalline Y5Ho12Sc2 at its relaxed geometry (PBE).

Cell and atoms, written as POSCAR:
```
Y5Ho12Sc2
1.0
-2.898 -2.457 6.295
7.975 6.029 1.731
-2.075 9.085 2.591
Sc Ho Y
2 12 5
direct
0.307 0.000 0.000
0.693 0.000 0.000
0.087 0.681 0.847
0.913 0.319 0.153
0.497 0.994 0.317
0.082 0.678 0.487
0.406 0.319 0.153
0.918 0.322 0.513
0.002 0.005 0.802
0.597 0.678 0.487
0.594 0.681 0.847
0.503 0.006 0.683
0.403 0.322 0.513
0.998 0.995 0.198
0.319 0.638 0.189
0.000 0.000 0.500
0.820 0.640 0.181
0.180 0.360 0.819
0.681 0.362 0.811
```

## Properties
Energy of formation = 16 kJ/mol of atoms
Mass density = 7.0 Mg/m³
Magnetization = 0.00 μB per atom
Raw total energy = -5.0923 eV/atom

***

Record 8
Entry from Alexandria: crystalline Dy5Rh2Au2 at its relaxed geometry (PBE).

Cell and atoms, written as POSCAR:
```
Dy5Rh2Au2
1.0
-6.405 -0.466 4.014
-3.926 1.791 -6.057
1.371 -8.294 1.225
Dy Au Rh
10 4 4
direct
0.000 0.000 0.000
0.170 0.200 0.740
0.170 0.460 0.260
0.330 0.960 0.260
0.670 0.300 0.260
0.830 0.540 0.740
0.830 0.800 0.260
0.670 0.040 0.740
0.500 0.500 0.000
0.330 0.700 0.740
0.500 0.707 0.414
0.000 0.793 0.586
0.000 0.207 0.414
0.500 0.293 0.586
0.133 0.633 0.000
0.867 0.367 0.000
0.367 0.133 0.000
0.633 0.867 0.000
```

## Properties
Energy of formation = -78 kJ/mol of atoms
Mass density = 10.9 Mg/m³
Magnetization = 0.00 μB per atom
Raw total energy = -5.7261 eV/atom